RbAlGeSb2: relaxed, PBE.

Results
total magnetization = 0.0 μB/cell
raw formation energy = 0.572 eV/atom

Structure (POSCAR):
```
RbAlGeSb2
1.0
-4.5705 -2.8494 0.9849
1.6529 -4.0767 -4.1244
2.6147 -2.8561 3.8710
Sb Ge Al Rb
2 1 1 1
Cartesian
1.3074 -1.4281 1.9355
-2.2853 -1.4247 0.4924
0.0000 0.0000 0.0000
-0.1515 -4.8911 0.3658
0.8264 -2.0384 -2.0622
```

Rb2AlGeSe4: relaxed, PBE.

Results
total magnetization = 0.0 μB/cell
raw formation energy = -0.866 eV/atom

Structure (POSCAR):
```
Rb2AlGeSe4
1.0
-2.4583 -0.4205 -5.7841
4.9824 -2.9732 -5.3312
-5.2413 -11.4576 -0.3691
Rb Al Ge Se
4 2 2 8
Cartesian
-3.7917 -7.3939 -1.2807
-3.9079 -4.4843 -4.8725
-3.4228 -11.5945 -6.2766
-0.5235 -3.4670 -8.0997
-1.9732 -7.5308 -7.1882
0.0000 0.0000 0.0000
-0.7440 -7.3205 -4.2961
-1.2291 -0.2103 -2.8920
2.7834 -3.7644 -5.9382
-4.1885 -10.8625 -2.4590
-2.8979 -13.0016 -9.9428
-1.1314 -2.0741 -4.6286
0.2259 -6.7396 -6.5811
-3.0260 -8.1259 -5.0983
-1.7925 -9.3805 -8.7296
-0.8418 -5.4566 -2.5595
```

RbAlSnGe: relaxed, PBE.

Results
DFT formation energy = -0.107 eV/atom
total magnetization = 0.0 μB/cell

Structure (POSCAR):
```
RbAlSnGe
1.0
4.1662 0.0000 0.0000
0.0000 4.1662 0.0000
0.0000 0.0000 14.4678
Rb Al Sn Ge
2 2 2 2
Cartesian
3.1246 3.1246 3.6514
1.0415 1.0415 10.8164
3.1246 1.0415 0.0000
1.0415 3.1246 0.0000
1.0415 3.1246 7.2339
3.1246 1.0415 7.2339
3.1246 3.1246 12.8252
1.0415 1.0415 1.6426
```

Rb2SrAlGe2: relaxed, PBE.

Results
DFT formation energy = -0.161 eV/atom
total magnetization = 0.0 μB/cell

Structure (POSCAR):
```
Rb2SrAlGe2
1.0
7.3926 0.0000 0.0000
0.0000 7.7527 0.0000
-3.6963 -3.8764 7.6768
Rb Sr Al Ge
4 2 2 4
Cartesian
2.1692 0.0000 2.8960
1.5271 3.8764 4.7808
-1.5271 0.0000 4.7808
5.2234 3.8764 2.8960
0.0000 5.8145 0.0000
0.0000 1.9382 0.0000
3.6963 5.8145 0.0000
3.6963 1.9382 0.0000
5.1135 0.0000 1.0464
2.2791 3.8764 1.0464
1.4172 0.0000 6.6303
-1.4172 3.8764 6.6303
```

RbAl2TcGe: relaxed, PBE.

Results
DFT formation energy = -0.074 eV/atom
total magnetization = 0.0 μB/cell

Structure (POSCAR):
```
RbAl2TcGe
1.0
4.9465 0.0000 0.0000
0.0000 4.9465 0.0000
0.0000 0.0000 4.8598
Ge Tc Rb Al
1 1 1 2
Cartesian
0.0000 0.0000 2.4299
0.0000 0.0000 0.0000
2.4733 2.4733 2.4299
0.0000 2.4733 0.0000
2.4733 0.0000 0.0000
```

RbAlGeTe2: relaxed, PBE.

Results
total magnetization = 0.0 μB/cell
raw formation energy = -0.066 eV/atom

Structure (POSCAR):
```
RbAlGeTe2
1.0
-4.6289 -2.5730 2.2419
-0.5467 -2.7551 -4.2909
3.3572 -4.1119 2.2124
Ge Te Al Rb
1 2 1 1
Cartesian
0.0000 0.0000 0.0000
1.6786 -2.0560 1.1062
-2.3145 -1.2865 1.1210
-0.2734 -1.3776 -2.1455
-0.9092 -4.7200 0.0817
```

Q: Look up the total magnetization of the second one.
A: 0.0 μB/cell

What did the fourth record say?
Rb2SrAlGe2: relaxed, PBE.

Results
DFT formation energy = -0.161 eV/atom
total magnetization = 0.0 μB/cell

Structure (POSCAR):
```
Rb2SrAlGe2
1.0
7.3926 0.0000 0.0000
0.0000 7.7527 0.0000
-3.6963 -3.8764 7.6768
Rb Sr Al Ge
4 2 2 4
Cartesian
2.1692 0.0000 2.8960
1.5271 3.8764 4.7808
-1.5271 0.0000 4.7808
5.2234 3.8764 2.8960
0.0000 5.8145 0.0000
0.0000 1.9382 0.0000
3.6963 5.8145 0.0000
3.6963 1.9382 0.0000
5.1135 0.0000 1.0464
2.2791 3.8764 1.0464
1.4172 0.0000 6.6303
-1.4172 3.8764 6.6303
```